No. 1
BiHIrPd2: relaxed, PBE.

The structure belongs to space group P4/mmm (No. 123); the cell edges are 4.357, 4.357 and 3.835 Å and the angles 90.00°, 90.00° and 90.00°. The inequivalent atoms are Bi at (0.000, 0.000, 0.000), H at (0.500, 0.500, 0.500), Ir at (0.500, 0.500, 0.000) and Pd at (0.000, 0.500, 0.500).

Its total energy is -5.258 eV/atom.

No. 2
PmBiH8Ir2: relaxed, PBE.

The structure belongs to space group R-3m (No. 166, hexagonal axes); the cell edges are 4.9725, 4.9725 and 18.0084 Å and the angles 90.00°, 90.00° and 120.00°. The inequivalent atoms are Pm at (0.0000, 0.0000, 0.0000), Bi at (0.0000, 0.0000, 0.5000), H at (0.0000, 0.0000, 0.3240), H at (0.0493, 0.5246, 0.5593) and Ir at (0.0000, 0.0000, 0.2345).

Its total energy is -4.458 eV/atom.

No. 3
PmBiH6Ir2: relaxed, PBE.

The structure belongs to space group Cmcm (No. 63); the cell edges are 8.199, 12.183 and 4.657 Å and the angles 90.00°, 90.00° and 90.00°. The inequivalent atoms are Pm at (0.000, 0.161, 0.250), Bi at (0.000, 0.407, 0.750), H at (0.131, 0.000, 0.000), H at (0.245, 0.318, 0.027) and Ir at (0.244, 0.080, 0.750).

Its total energy is -4.870 eV/atom.

No. 4
BiH6Ir2Pt: relaxed, PBE.

The structure belongs to space group C2/c (No. 15); the cell edges are 7.065, 8.530 and 7.067 Å and the angles 90.00°, 96.81° and 90.00°. The inequivalent atoms are Bi at (0.000, 0.083, 0.250), H at (0.132, 0.315, 0.864), H at (0.148, 0.392, 0.440), H at (0.191, 0.387, 0.151), Ir at (0.182, 0.203, 0.671) and Pt at (0.000, 0.480, 0.750).

Its total energy is -4.634 eV/atom.

| no. | density (Mg/m³) |
| --- | --- |
| 1 | 14.030 |
| 2 | 9.643 |
| 3 | 10.630 |
| 4 | 12.478 |